Entry 1:
{"formula": "NdIn2Rh3", "functional": "GGA-PBE", "state": "relaxed", "lattice_angstrom": [[4.706, 0.000, 0.000], [-2.353, 4.075, 0.000], [0.000, 0.000, 5.834]], "species": ["Nd", "In", "In", "Rh", "Rh", "Rh"], "frac_coords": [[0.000, 0.000, 0.000], [0.333, 0.667, 0.674], [0.667, 0.333, 0.326], [0.000, 0.000, 0.500], [0.333, 0.667, 0.204], [0.667, 0.333, 0.796]], "dft_energy_ev_per_atom": -5.927, "magmom_total_mub_per_cell": 0.00}

---

Entry 2:
{"formula": "Pu5FeRu4", "functional": "GGA-PBE", "state": "relaxed", "lattice_angstrom": [[3.397, 0.000, 0.000], [0.000, 3.397, 0.000], [0.000, 0.000, 15.898]], "species": ["Pu", "Pu", "Pu", "Pu", "Pu", "Fe", "Ru", "Ru", "Ru", "Ru"], "frac_coords": [[0.000, 0.000, 0.000], [0.000, 0.000, 0.212], [0.000, 0.000, 0.428], [0.000, 0.000, 0.572], [0.000, 0.000, 0.788], [0.500, 0.500, 0.500], [0.500, 0.500, 0.108], [0.500, 0.500, 0.323], [0.500, 0.500, 0.677], [0.500, 0.500, 0.892]], "dft_energy_ev_per_atom": -11.614, "magmom_total_mub_per_cell": 13.71}

---

Entry 3:
{"formula": "Ce5MgPt5", "functional": "GGA-PBE", "state": "relaxed", "lattice_angstrom": [[6.434, -2.864, 0.000], [6.434, 2.864, 0.000], [-2.636, 0.000, 7.740]], "species": ["Ce", "Ce", "Ce", "Ce", "Ce", "Mg", "Pt", "Pt", "Pt", "Pt", "Pt"], "frac_coords": [[0.000, 0.000, 0.000], [0.326, 0.326, 0.172], [0.334, 0.334, 0.663], [0.666, 0.666, 0.337], [0.674, 0.674, 0.828], [0.000, 0.000, 0.500], [0.158, 0.158, 0.335], [0.164, 0.164, 0.829], [0.500, 0.500, 0.500], [0.836, 0.836, 0.171], [0.842, 0.842, 0.665]], "dft_energy_ev_per_atom": -6.410, "magmom_total_mub_per_cell": 3.68}

---

Entry 4:
{"formula": "La2SnGe2", "functional": "GGA-PBE", "state": "relaxed", "lattice_angstrom": [[-1.939, 1.939, 9.316], [1.939, -1.939, 9.316], [1.939, 1.939, -9.316]], "species": ["La", "La", "Sn", "Ge", "Ge"], "frac_coords": [[0.114, 0.114, 0.000], [0.886, 0.886, 0.000], [0.500, 0.500, 0.000], [0.250, 0.750, 0.500], [0.750, 0.250, 0.500]], "dft_energy_ev_per_atom": -5.181, "magmom_total_mub_per_cell": 0.00}

---

Entry 5:
{"formula": "Ce2Cl3", "functional": "GGA-PBE", "state": "relaxed", "lattice_angstrom": [[3.300, 1.905, 7.524], [-3.300, 1.905, 7.524], [0.000, -3.810, 7.524]], "species": ["Ce", "Ce", "Ce", "Ce", "Cl", "Cl", "Cl", "Cl", "Cl", "Cl"], "frac_coords": [[0.166, 0.166, 0.166], [0.334, 0.334, 0.334], [0.666, 0.666, 0.666], [0.834, 0.834, 0.834], [0.081, 0.750, 0.419], [0.250, 0.581, 0.919], [0.419, 0.081, 0.750], [0.581, 0.919, 0.250], [0.750, 0.419, 0.081], [0.919, 0.250, 0.581]], "dft_energy_ev_per_atom": -5.052, "formation_energy_uncorrected_ev_per_atom": -1.5700, "magmom_total_mub_per_cell": 6.98}

---

Entry 6:
{"formula": "Pm2MgRh3", "functional": "GGA-PBE", "state": "relaxed", "lattice_angstrom": [[4.805, 0.000, 0.000], [-2.403, 4.161, 0.000], [0.000, 0.000, 11.801]], "species": ["Pm", "Pm", "Pm", "Pm", "Mg", "Mg", "Rh", "Rh", "Rh", "Rh", "Rh", "Rh"], "frac_coords": [[0.000, 0.000, 0.000], [0.000, 0.000, 0.500], [0.333, 0.667, 0.183], [0.667, 0.333, 0.817], [0.333, 0.667, 0.662], [0.667, 0.333, 0.338], [0.000, 0.000, 0.255], [0.000, 0.000, 0.745], [0.333, 0.667, 0.423], [0.333, 0.667, 0.910], [0.667, 0.333, 0.090], [0.667, 0.333, 0.577]], "dft_energy_ev_per_atom": -6.155, "magmom_total_mub_per_cell": 0.00, "de_polymorph_kj_per_mol_fu": 0}

---

What did the third record say?
{"formula": "Ce5MgPt5", "functional": "GGA-PBE", "state": "relaxed", "lattice_angstrom": [[6.434, -2.864, 0.000], [6.434, 2.864, 0.000], [-2.636, 0.000, 7.740]], "species": ["Ce", "Ce", "Ce", "Ce", "Ce", "Mg", "Pt", "Pt", "Pt", "Pt", "Pt"], "frac_coords": [[0.000, 0.000, 0.000], [0.326, 0.326, 0.172], [0.334, 0.334, 0.663], [0.666, 0.666, 0.337], [0.674, 0.674, 0.828], [0.000, 0.000, 0.500], [0.158, 0.158, 0.335], [0.164, 0.164, 0.829], [0.500, 0.500, 0.500], [0.836, 0.836, 0.171], [0.842, 0.842, 0.665]], "dft_energy_ev_per_atom": -6.410, "magmom_total_mub_per_cell": 3.68}